AcNpCrO6: relaxed, PBE+U.

Cell and atoms, written as extended XYZ:
```
18
Lattice="5.840 0.000 0.000 -2.920 5.057 0.000 0.000 0.000 8.548" Properties=species:S:1:pos:R:3 pbc="T T T"
Ac 0.000 3.371 2.137
Ac 2.920 1.686 6.411
Np 2.920 1.686 2.137
Np 0.000 3.371 6.411
Cr 0.000 0.000 0.000
Cr 0.000 0.000 4.274
O 2.263 3.314 1.003
O 4.658 1.440 1.003
O -1.082 4.754 5.277
O -1.738 3.617 7.545
O 1.182 1.440 3.271
O 3.576 3.314 3.271
O 1.082 4.754 7.545
O 4.002 0.303 3.271
O -0.656 1.743 5.277
O 1.838 0.303 1.003
O 1.738 3.617 5.277
O 0.656 1.743 7.545
```

## Properties
Total DFT energy (no corrections), eV per atom: -8.51
V, A^3/atom: 14.02